--- A ---
Here is a relaxed structure of Ho5In2Sb from the Alexandria database. Energies are from PBE.

Lattice parameters (Å, degrees): 7.4850 7.4850 7.7971 90.00 90.00 90.00
Last column: nearest neighbours and their distance in Å.
Space group I4mm (No. 107)
One atom of each set of equivalent atoms:
Ho (0.0000, 0.0000, 0.0000)  1 Sb 3.18, 8 Ho 3.24-3.38
Ho (0.2339, 0.2339, 0.7046)  2 Sb 3.23-3.39, 4 Ho 3.24-3.50, 4 In 3.25-3.33
In (0.0000, 0.5000, 0.4628)  8 Ho 3.25-3.33
Sb (0.0000, 0.0000, 0.4077)  9 Ho 3.18-3.39

Properties
mass density	8.941	g/cm³

---

--- B ---
Here is a relaxed structure of Ho5In2Sb from the Alexandria database. Energies are from PBE.

Lattice parameters (Å, degrees): 8.3593 8.3593 12.8078 90.00 90.00 90.00
Last column: nearest neighbours and their distance in Å.
Space group I4/mcm (No. 140)
One atom of each set of equivalent atoms:
Ho (0.0000, 0.0000, 0.0000)  2 Sb 3.20, 4 In 3.21
Ho (0.1544, 0.3456, 0.1513)  3 In 3.07-3.16, 1 Ho 3.39, 2 Sb 3.41
In (0.1446, 0.3554, 0.5000)  8 Ho 3.07-3.21, 1 In 3.42
Sb (0.0000, 0.0000, 0.2500)  10 Ho 3.20-3.41

Properties
mass density	8.728	g/cm³

---

Ranked by calculated energy, most stable first: B, A.

---

--- A ---
Here is a relaxed structure of HoSc2In from the Alexandria database. Energies are from PBE.

Lattice parameters (Å, degrees): 3.3806 3.3806 31.3227 90.00 90.00 120.00
Last column: nearest neighbours and their distance in Å.
Space group R3m (No. 160, hexagonal axes)
One atom of each set of equivalent atoms:
Ho (0.0000, 0.0000, 0.0000)  6 Sc 3.36-3.37, 6 Ho 3.38
Sc (0.0000, 0.0000, 0.2460)  3 In 3.15, 3 Ho 3.36, 6 Sc 3.38
Sc (0.0000, 0.0000, 0.4210)  3 In 3.16, 3 Ho 3.37, 6 Sc 3.38
In (0.0000, 0.0000, 0.8337)  6 Sc 3.15-3.16, 6 In 3.38

Properties
mass density	5.940	g/cm³

---

--- B ---
Here is a relaxed structure of HoSc2In from the Alexandria database. Energies are from PBE.

Lattice parameters (Å, degrees): 4.6297 4.6297 4.6130 90.00 90.00 90.00
Last column: nearest neighbours and their distance in Å.
Space group P4/mmm (No. 123)
One atom of each set of equivalent atoms:
Ho (0.0000, 0.0000, 0.0000)  8 Sc 3.27, 4 In 3.27
Sc (0.0000, 0.5000, 0.5000)  4 In 3.27, 4 Ho 3.27, 4 Sc 3.27
In (0.5000, 0.5000, 0.0000)  8 Sc 3.27, 4 Ho 3.27

Properties
mass density	6.208	g/cm³

---

Ranked by calculated energy, most stable first: B, A.

---

--- A ---
Here is a relaxed structure of Ho2Sc2In from the Alexandria database. Energies are from PBE.

Lattice parameters (Å, degrees): 7.7156 7.7156 4.5670 90.00 90.00 90.00
Last column: nearest neighbours and their distance in Å.
Space group P4/mbm (No. 127)
One atom of each set of equivalent atoms:
Ho (0.1558, 0.3442, 0.0000)  6 Sc 3.16-3.25, 1 Ho 3.40
Sc (0.1446, 0.6446, 0.5000)  2 In 2.96, 6 Ho 3.16-3.25, 1 Sc 3.16
In (0.0000, 0.0000, 0.5000)  4 Sc 2.96

Properties
mass density	6.530	g/cm³

---

--- B ---
Here is a relaxed structure of Ho2Sc2In from the Alexandria database. Energies are from PBE.

Lattice parameters (Å, degrees): 8.3756 8.3756 3.8437 90.00 90.00 90.00
Last column: nearest neighbours and their distance in Å.
Space group P4/mbm (No. 127)
One atom of each set of equivalent atoms:
Ho (0.1433, 0.3567, 0.0000)  6 Sc 3.04-3.17, 2 In 3.22, 1 Ho 3.40
Sc (0.1578, 0.6578, 0.5000)  6 Ho 3.04-3.17
In (0.0000, 0.0000, 0.0000)  4 Ho 3.22

Properties
mass density	6.584	g/cm³

---

Ranked by calculated energy, most stable first: A, B.